{"formula": "Ho3Er4Sc2", "functional": "PBE", "state": "relaxed", "cell": [[8.0379, -5.6256, 0.0000], [8.0379, 5.6256, 0.0000], [-0.7102, 0.0000, 5.8341]], "species": ["Ho", "Ho", "Ho", "Ho", "Ho", "Ho", "Er", "Er", "Er", "Er", "Er", "Er", "Er", "Er", "Sc", "Sc", "Sc", "Sc"], "fractional_positions": [[0.1429, 0.8571, 0.7500], [0.1770, 0.4839, 0.9204], [0.4839, 0.1770, 0.4204], [0.5161, 0.8230, 0.5796], [0.8230, 0.5161, 0.0796], [0.8571, 0.1429, 0.2500], [0.1155, 0.3274, 0.3921], [0.3218, 0.5488, 0.4544], [0.3274, 0.1155, 0.8921], [0.4512, 0.6782, 0.0456], [0.5488, 0.3218, 0.9544], [0.6726, 0.8845, 0.1079], [0.6782, 0.4512, 0.5456], [0.8845, 0.6726, 0.6079], [0.0155, 0.7854, 0.2036], [0.2146, 0.9845, 0.2964], [0.7854, 0.0155, 0.7036], [0.9845, 0.2146, 0.7964]], "polymorph_energy_mev_per_atom": 15, "space_group": "C2/c, No. 15", "density_g_cm3": 7.892, "formation_energy_ev_per_atom": 0.1087, "total_energy_ev_per_cell": -87.34, "vol_a3_per_cell": 527.6}